The following is a PBE calculation of an optimized crystal structure of MgNiSe2N, from Alexandria.

Lattice parameters (Å, degrees): 5.0508 5.0508 3.4156 90.00 90.00 90.00
Positions (direct):
N (0.0000, 0.0000, 0.5000)
Se (0.5000, 0.0000, 0.0000)
Se (0.0000, 0.5000, 0.0000)
Mg (0.5000, 0.5000, 0.5000)
Ni (0.0000, 0.0000, 0.0000)

Properties
The energy is -22.1 eV per cell. The calculation puts the total moment at 0.00 μB per atom. The uncorrected formation energy comes out at 0.12 eV per atom. As for the calculated volume: 87.1 Å³/f.u. Its space group is P4/mmm (123).



The following is a PBE calculation of an optimized crystal structure of MgNiSe2N, from Alexandria.

Lattice parameters (Å, degrees): 5.0699 5.0699 3.8726 90.00 90.00 90.00
Positions (direct):
Mg (0.0000, 0.0000, 0.0000)
N (0.0000, 0.0000, 0.5000)
Se (0.0000, 0.5000, 0.0000)
Se (0.5000, 0.0000, 0.0000)
Ni (0.5000, 0.5000, 0.5000)

Properties
The energy is -17.7 eV per cell. The calculation puts the total moment at 0.59 μB per atom. The uncorrected formation energy comes out at 1.00 eV per atom. As for the calculated volume: 99.5 Å³/f.u. Its space group is P4/mmm (123).



The following is a PBE calculation of an optimized crystal structure of MgNiTeN2, from Alexandria.

Lattice parameters (Å, degrees): 3.8684 3.8684 5.8754 90.00 90.00 90.00
Positions (direct):
Mg (0.0000, 0.0000, 0.0000)
Ni (0.5000, 0.5000, 0.5000)
N (0.0000, 0.5000, 0.0000)
N (0.5000, 0.0000, 0.0000)
Te (0.0000, 0.0000, 0.5000)

Properties
The energy is -19.5 eV per cell. The calculation puts the total moment at 0.12 μB per atom. The uncorrected formation energy comes out at 1.54 eV per atom. As for the calculated volume: 87.9 Å³/f.u. Its space group is P4/mmm (123).



The following is a PBE calculation of an optimized crystal structure of MgNiTeN2, from Alexandria.

Lattice parameters (Å, degrees): 3.8742 3.8742 5.4033 90.00 90.00 90.00
Positions (direct):
Mg (0.5000, 0.5000, 0.5000)
N (0.5000, 0.0000, 0.0000)
N (0.0000, 0.5000, 0.0000)
Ni (0.0000, 0.0000, 0.0000)
Te (0.0000, 0.0000, 0.5000)

Properties
The energy is -22.5 eV per cell. The calculation puts the total moment at 0.58 μB per atom. The uncorrected formation energy comes out at 0.94 eV per atom. As for the calculated volume: 81.1 Å³/f.u. Its space group is P4/mmm (123).



The following is a PBE calculation of an optimized crystal structure of MgNiTe2N, from Alexandria.

Lattice parameters (Å, degrees): 5.2350 3.5491 5.2350 90.00 90.00 90.00
Positions (direct):
Mg (0.5000, 0.5000, 0.5000)
Te (0.5000, 0.0000, 0.0000)
Te (0.0000, 0.0000, 0.5000)
Ni (0.0000, 0.5000, 0.0000)
N (0.0000, 0.0000, 0.0000)

Properties
The energy is -20.6 eV per cell. The calculation puts the total moment at 0.00 μB per atom. The uncorrected formation energy comes out at 0.28 eV per atom. As for the calculated volume: 97.3 Å³/f.u. Its space group is P4/mmm (123).



The following is a PBE calculation of an optimized crystal structure of MgNiTe2N, from Alexandria.

Lattice parameters (Å, degrees): 5.4608 5.4608 3.4505 90.00 90.00 90.00
Positions (direct):
Ni (0.0000, 0.0000, 0.0000)
Mg (0.5000, 0.5000, 0.5000)
N (0.0000, 0.0000, 0.5000)
Te (0.0000, 0.5000, 0.0000)
Te (0.5000, 0.0000, 0.0000)

Properties
The energy is -21.0 eV per cell. The calculation puts the total moment at 0.00 μB per atom. The uncorrected formation energy comes out at 0.20 eV per atom. As for the calculated volume: 102.9 Å³/f.u. Its space group is P4/mmm (123).



The following is a PBE calculation of an optimized crystal structure of MgNiTe2N, from Alexandria.

Lattice parameters (Å, degrees): 5.5015 5.5015 3.7835 90.00 90.00 90.00
Positions (direct):
N (0.0000, 0.0000, 0.5000)
Te (0.0000, 0.5000, 0.0000)
Te (0.5000, 0.0000, 0.0000)
Mg (0.0000, 0.0000, 0.0000)
Ni (0.5000, 0.5000, 0.5000)

Properties
The energy is -17.0 eV per cell. The calculation puts the total moment at 0.37 μB per atom. The uncorrected formation energy comes out at 0.99 eV per atom. As for the calculated volume: 114.5 Å³/f.u. Its space group is P4/mmm (123).



The following is a PBE calculation of an optimized crystal structure of Mg2TlNiN, from Alexandria.

Lattice parameters (Å, degrees): 4.3264 4.3264 4.0627 90.00 90.00 90.00
Positions (direct):
Mg (0.0000, 0.5000, 0.0000)
Mg (0.5000, 0.0000, 0.0000)
Ni (0.0000, 0.0000, 0.5000)
Tl (0.5000, 0.5000, 0.5000)
N (0.0000, 0.0000, 0.0000)

Properties
The energy is -20.3 eV per cell. The calculation puts the total moment at 0.00 μB per atom. The uncorrected formation energy comes out at -0.12 eV per atom. As for the calculated volume: 76.0 Å³/f.u. Its space group is P4/mmm (123).



The following is a PBE calculation of an optimized crystal structure of Y2MgNiN, from Alexandria.

Lattice parameters (Å, degrees): 4.7741 4.7741 4.1074 90.00 90.00 90.00
Positions (direct):
Ni (0.5000, 0.5000, 0.5000)
Y (0.0000, 0.5000, 0.0000)
Y (0.5000, 0.0000, 0.0000)
N (0.0000, 0.0000, 0.0000)
Mg (0.0000, 0.0000, 0.5000)

Properties
The energy is -31.6 eV per cell. The calculation puts the total moment at 0.00 μB per atom. The uncorrected formation energy comes out at -0.60 eV per atom. As for the calculated volume: 93.6 Å³/f.u. Its space group is P4/mmm (123).



The following is a PBE calculation of an optimized crystal structure of MgNpN2, from Alexandria.

Lattice parameters (Å, degrees): 3.3929 3.3932 6.5530 58.82 90.00 120.00
Positions (direct):
N (0.4946, 0.9893, 0.2579)
N (0.5054, 0.0107, 0.7421)
Mg (0.0000, 0.0000, 0.0000)
Np (0.0000, 0.0000, 0.5000)

Properties
The energy is -35.0 eV per cell. The calculation puts the total moment at 0.75 μB per atom. The uncorrected formation energy comes out at -0.95 eV per atom. As for the calculated volume: 52.4 Å³/f.u. Its space group is R-3m (166).



The following is a PBE calculation of an optimized crystal structure of MgNpN, from Alexandria.

Lattice parameters (Å, degrees): 3.5010 6.9832 6.6739 90.00 90.00 90.00
Positions (direct):
Mg (0.7501, 0.3750, 0.6210)
Mg (0.7499, 0.8750, 0.6210)
Mg (0.2501, 0.1250, 0.3790)
Mg (0.2499, 0.6250, 0.3790)
Np (0.7500, 0.6250, 0.0004)
Np (0.2500, 0.8750, 0.9996)
Np (0.7500, 0.1250, 0.0004)
Np (0.2500, 0.3750, 0.9996)
N (0.2501, 0.6250, 0.6944)
N (0.7499, 0.3750, 0.3056)
N (0.2499, 0.1250, 0.6944)
N (0.7501, 0.8750, 0.3056)

Properties
The energy is -91.8 eV per cell. The calculation puts the total moment at 0.00 μB per atom. The uncorrected formation energy comes out at -0.03 eV per atom. As for the calculated volume: 40.8 Å³/f.u. Its space group is P4/nmm (129).



The following is a PBE calculation of an optimized crystal structure of Mg2NpN4, from Alexandria.

Lattice parameters (Å, degrees): 5.8875 5.8875 5.8875 111.38 111.38 105.71
Positions (direct):
Np (0.7500, 0.2500, 0.5000)
Np (0.0000, 0.0000, 0.0000)
N (0.1096, 0.3147, 0.7948)
N (0.2301, 0.9353, 0.2949)
N (0.0647, 0.3596, 0.2948)
N (0.6852, 0.8904, 0.2051)
N (0.0648, 0.7699, 0.7052)
N (0.6404, 0.9352, 0.7051)
N (0.6853, 0.4801, 0.7949)
N (0.5199, 0.3148, 0.2052)
Mg (0.3748, 0.6250, 0.2498)
Mg (0.3750, 0.6248, 0.7498)
Mg (0.8750, 0.6252, 0.2502)
Mg (0.3752, 0.1250, 0.7502)

Properties
The energy is -107.1 eV per cell. The calculation puts the total moment at 0.00 μB per atom. The uncorrected formation energy comes out at -0.59 eV per atom. As for the calculated volume: 78.3 Å³/f.u. Its space group is I4_1/amd (141).